Model i:
PaNiCl6: relaxed, PBE-GGA.

abc: 6.888 6.899 6.899
angles: 120.35 103.83 103.83
Sites, in units of the cell vectors:
Pa: 0.500 0.500 0.500
Ni: 0.000 0.000 0.000
Cl: 0.775 0.631 0.922
Cl: 0.775 0.922 0.631
Cl: 0.225 0.078 0.369
Cl: 0.225 0.369 0.078
Cl: 0.713 0.287 0.287
Cl: 0.287 0.713 0.713

Calculated values
DOS(E_F) (states/eV/f.u.): 3.4
ρ (Mg/m³): 3.4
Space-group type: C2/m

Model ii:
PaNiCl6: relaxed, PBE-GGA.

abc: 6.537 6.537 6.938
angles: 61.88 61.88 59.99
Sites, in units of the cell vectors:
Pa: 0.500 0.500 0.500
Ni: 0.000 0.000 0.000
Cl: 0.115 0.370 0.757
Cl: 0.757 0.116 0.757
Cl: 0.630 0.243 0.243
Cl: 0.243 0.884 0.243
Cl: 0.885 0.630 0.243
Cl: 0.370 0.757 0.757

Calculated values
DOS(E_F) (states/eV/f.u.): 5.9
ρ (Mg/m³): 3.9
Space-group type: R-3

The calculated energies rank the structures as follows, beginning with the most stable: model i, model ii.